Entry 1:
TlIn4Sn4 GGA-PBE relaxed; excess energy over the best structure of this formula in the dataset = 85 meV per atom; ΔE_f = 0.116 eV/atom; Fermi-level density of states = 9.7 states/eV per cell
1.0
7.661 0.000 0.000
0.000 7.661 0.000
0.000 0.000 9.621
Tl In Sn
2 8 8
direct
0.250 0.750 0.250 Tl
0.750 0.250 0.750 Tl
0.018 0.750 0.528 In
0.250 0.518 0.972 In
0.250 0.982 0.972 In
0.482 0.750 0.528 In
0.518 0.250 0.472 In
0.750 0.018 0.028 In
0.750 0.482 0.028 In
0.982 0.250 0.472 In
0.046 0.250 0.159 Sn
0.250 0.046 0.659 Sn
0.250 0.454 0.659 Sn
0.454 0.250 0.159 Sn
0.546 0.750 0.841 Sn
0.750 0.546 0.341 Sn
0.750 0.954 0.341 Sn
0.954 0.750 0.841 Sn

=====

Entry 2:
Pm6GaPb6 GGA-PBE relaxed; ΔE_f = -0.382 eV/atom; Fermi-level density of states = 11.1 states/eV per cell
1.0
6.728 0.000 0.000
-3.364 5.827 0.000
0.000 0.000 10.477
Pm Ga Pb
6 1 6
direct
0.000 0.000 0.207 Pm
0.000 0.000 0.793 Pm
0.333 0.667 0.000 Pm
0.333 0.667 0.500 Pm
0.667 0.333 0.000 Pm
0.667 0.333 0.500 Pm
0.000 0.000 0.500 Ga
0.000 0.500 0.249 Pb
0.000 0.500 0.751 Pb
0.500 0.000 0.249 Pb
0.500 0.000 0.751 Pb
0.500 0.500 0.249 Pb
0.500 0.500 0.751 Pb

=====

Entry 3:
YTmFe GGA-PBE relaxed; excess energy over the best structure of this formula in the dataset = 4 meV per atom; ΔE_f = 0.034 eV/atom; Fermi-level density of states = 3.3 states/eV per cell
1.0
3.314 0.000 0.000
0.000 3.314 0.000
0.000 0.000 12.686
Y Tm Fe
2 2 2
direct
0.000 0.000 0.000 Y
0.500 0.500 0.500 Y
0.000 0.000 0.252 Tm
0.500 0.500 0.752 Tm
0.000 0.000 0.630 Fe
0.500 0.500 0.130 Fe

=====

Number 1: M_tot 0.0000 μB per atom. Number 2: M_tot 0.0000 μB per atom. Number 3: M_tot 0.0001 μB per atom.